Record 1
Here is a relaxed KNbO2F crystal from Alexandria. Energies are from GGA-PBE.

Cell lengths 4.0451, 4.0451, 4.3481 Å; angles 90.00, 90.00, 90.00 degrees
Space group P4/mmm (No. 123)
Symmetry-distinct sites (fractional):
K1 0.0000 0.0000 0.0000 x1
Nb1 0.5000 0.5000 0.5000 x1
O1 0.0000 0.5000 0.5000 x2
F1 0.5000 0.5000 0.0000 x1

Summary:
Calculated density = 4.27 Mg/m³
Raw formation energy = -56.387 kcal/mol of atoms
DOS(E_F) = 1.29 states/eV/f.u.
E = -7.036 eV per atom
Magnetization = 0.62 Bohr magnetons per cell

***

Record 2
Here is a relaxed KNb4O5F crystal from Alexandria. Energies are from GGA-PBE.

Cell lengths 4.2091, 4.2091, 8.5284 Å; angles 90.00, 90.00, 90.00 degrees
Space group P4/mmm (No. 123)
Symmetry-distinct sites (fractional):
K1 0.0000 0.0000 0.0000 x1
Nb1 0.0000 0.5000 0.5000 x2
Nb2 0.5000 0.5000 0.2633 x2
O1 0.0000 0.0000 0.5000 x1
O2 0.0000 0.5000 0.2512 x4
F1 0.5000 0.5000 0.0000 x1

Summary:
Calculated density = 5.60 Mg/m³
Raw formation energy = -52.274 kcal/mol of atoms
DOS(E_F) = 2.48 states/eV/f.u.
E = -8.452 eV per atom
Magnetization = 0.00 Bohr magnetons per cell

***

Record 3
Here is a relaxed KNbO3F crystal from Alexandria. Energies are from GGA-PBE.

Cell lengths 5.2399, 15.9911, 5.5227 Å; angles 90.00, 93.47, 90.00 degrees
Space group C2/c (No. 15)
Symmetry-distinct sites (fractional):
K1 0.0000 0.2449 0.2500 x4
Nb1 0.0000 0.4612 0.7500 x4
O1 0.0000 0.3451 0.7500 x4
O2 0.2270 0.4753 0.4639 x8
F1 0.0000 0.2123 0.7500 x4

Summary:
Calculated density = 2.86 Mg/m³
Raw formation energy = -46.023 kcal/mol of atoms
DOS(E_F) = 0.32 states/eV/f.u.
E = -6.648 eV per atom
Magnetization = 4.03 Bohr magnetons per cell

***

Record 4
Here is a relaxed KNbO2F crystal from Alexandria. Energies are from GGA-PBE.

Cell lengths 4.4288, 4.4288, 4.3141 Å; angles 90.00, 90.00, 90.00 degrees
Space group P4/mmm (No. 123)
Symmetry-distinct sites (fractional):
K1 0.0000 0.0000 0.0000 x1
Nb1 0.5000 0.5000 0.5000 x1
O1 0.0000 0.5000 0.0000 x2
F1 0.0000 0.0000 0.5000 x1

Summary:
Calculated density = 3.59 Mg/m³
Raw formation energy = 7.030 kcal/mol of atoms
DOS(E_F) = 5.19 states/eV/f.u.
E = -4.286 eV per atom
Magnetization = 1.00 Bohr magnetons per cell

***

Record 5
Here is a relaxed K2Nb3O8F crystal from Alexandria. Energies are from GGA-PBE.

Cell lengths 6.1960, 6.1960, 21.6375 Å; angles 90.00, 90.00, 120.00 degrees
Space group R3m (No. 160, hexagonal axes)
Symmetry-distinct sites (fractional):
K1 0.0000 0.0000 0.0000 x3
K2 0.0000 0.0000 0.3694 x3
Nb1 0.1680 0.3359 0.1978 x9
O1 0.0000 0.0000 0.1459 x3
O2 0.0000 0.0000 0.5812 x3
O3 0.0351 0.5176 0.1506 x9
O4 0.1838 0.3676 0.9128 x9
F1 0.0000 0.0000 0.6980 x3

Summary:
Calculated density = 3.49 Mg/m³
Raw formation energy = -51.938 kcal/mol of atoms
DOS(E_F) = 1.30 states/eV/f.u.
E = -7.534 eV per atom
Magnetization = 0.13 Bohr magnetons per cell

***

Record 6
Here is a relaxed KNbOF2 crystal from Alexandria. Energies are from GGA-PBE.

Cell lengths 4.4128, 4.4128, 4.0470 Å; angles 90.00, 90.00, 90.00 degrees
Space group P4/mmm (No. 123)
Symmetry-distinct sites (fractional):
K1 0.0000 0.0000 0.0000 x1
Nb1 0.5000 0.5000 0.5000 x1
O1 0.5000 0.5000 0.0000 x1
F1 0.0000 0.5000 0.5000 x2

Summary:
Calculated density = 3.92 Mg/m³
Energy relative to the lowest polymorph listed for this composition = 0.00 eV/f.u.
Raw formation energy = -54.257 kcal/mol of atoms
DOS(E_F) = 0.86 states/eV/f.u.
E = -6.326 eV per atom
Magnetization = 1.99 Bohr magnetons per cell